A relaxed Pm2Ge4Ru5 crystal, computed with GGA-PBE.

The space group is Fmmm (No. 69) and the conventional cell measures 5.9247, 10.1637 and 13.5494 Å, with angles of 90.00, 90.00 and 90.00 degrees. Symmetry generates all atoms from Pm at (0.0000, 0.0000, 0.1271), Ge at (0.0000, 0.1496, 0.3659), Ru at (0.0000, 0.0000, 0.5000), Ru at (0.2500, 0.2500, 0.0000) and Ru at (0.2500, 0.2500, 0.2500).

For the density of states at the Fermi level, the calculation gives 0.47 states/eV/atom. Its volume is 18.54 A^3/atom. The value obtained for the calculated formation energy is -5.2 eV/f.u. For the total magnetic moment, the calculation gives 0.00 μB per formula unit.

---

A relaxed Pm3Ge2Ru2 crystal, computed with GGA-PBE.

The space group is Pbcm (No. 57) and the conventional cell measures 5.6962, 7.9147 and 13.7232 Å, with angles of 90.00, 90.00 and 90.00 degrees. Symmetry generates all atoms from Pm at (0.1275, 0.2365, 0.2500), Pm at (0.3501, 0.5973, 0.0990), Ge at (0.1172, 0.2500, 0.0000), Ge at (0.3660, 0.6121, 0.7500) and Ru at (0.1470, 0.5306, 0.5907).

For the density of states at the Fermi level, the calculation gives 0.49 states/eV/atom. Its volume is 22.10 A^3/atom. The value obtained for the calculated formation energy is -4.5 eV/f.u. For the total magnetic moment, the calculation gives 0.00 μB per formula unit.

---

A relaxed PmGe2Ru crystal, computed with GGA-PBE.

The space group is P4/mmm (No. 123) and the conventional cell measures 3.1888, 3.1888 and 7.1940 Å, with angles of 90.00, 90.00 and 90.00 degrees. Symmetry generates all atoms from Pm at (0.0000, 0.0000, 0.0000), Ge at (0.5000, 0.5000, 0.2999) and Ru at (0.0000, 0.0000, 0.5000).

For the density of states at the Fermi level, the calculation gives 1.02 states/eV/atom. The value obtained for the energy above the most stable polymorph in this dataset is 268 meV per atom. Its volume is 18.29 A^3/atom. The value obtained for the calculated formation energy is -1.4 eV/f.u. For the total magnetic moment, the calculation gives 0.00 μB per formula unit.

---

A relaxed Pm2Ge5Ru3 crystal, computed with GGA-PBE.

The space group is C2/c (No. 15) and the conventional cell measures 11.4652, 12.4217 and 5.9547 Å, with angles of 90.00, 119.60 and 90.00 degrees. Symmetry generates all atoms from Pm at (0.2328, 0.1363, 0.2397), Ge at (0.0000, 0.0080, 0.2500), Ge at (0.0000, 0.2790, 0.2500), Ge at (0.0000, 0.2932, 0.7500), Ge at (0.1701, 0.4091, 0.1719), Ru at (0.0000, 0.4982, 0.7500) and Ru at (0.0961, 0.1451, 0.6216).

For the density of states at the Fermi level, the calculation gives 0.48 states/eV/atom. Its volume is 18.44 A^3/atom. The value obtained for the calculated formation energy is -6.5 eV/f.u. For the total magnetic moment, the calculation gives 0.00 μB per formula unit.